# K3NbCo2O6 PBE with a Hubbard U optimized geometry
data_K3NbCo2O6
_symmetry_space_group_name_H-M 'P 1'
_symmetry_Int_Tables_number 1
_cell_length_a 5.552
_cell_length_b 5.552
_cell_length_c 6.352
_cell_angle_alpha 97.99
_cell_angle_beta 97.99
_cell_angle_gamma 120.56
loop_
_symmetry_equiv_pos_as_xyz
'x,y,z'
loop_
_atom_site_label
_atom_site_fract_x
_atom_site_fract_y
_atom_site_fract_z
_atom_site_occupancy
K1 0.500 0.500 0.500 1
O1 0.625 0.936 0.821 1
O2 0.936 0.625 0.821 1
O3 0.375 0.064 0.179 1
Co1 0.332 0.668 0.000 1
K2 0.826 0.174 0.500 1
O4 0.752 0.752 0.186 1
O5 0.064 0.375 0.179 1
O6 0.248 0.248 0.814 1
Co2 0.668 0.332 0.000 1
K3 0.174 0.826 0.500 1
Nb1 0.000 0.000 0.000 1
# Energy in eV per atom: -6.08